No. 1
## Y4FeBi (PBE)

Data for an optimized crystal structure of Y4FeBi.

## Properties
E_tot	-6.67	eV per atom
total magnetization	0.00	μB per formula unit

Unit cell a=6.095 b=8.018 c=8.018 alpha=112.48 beta=102.05 gamma=102.05
Fractional coordinates of all 12 atoms:
Y 0.859 0.653 0.796
Y 0.061 0.944 0.269
Y 0.641 0.204 0.347
Y 0.439 0.731 0.056
Y 0.561 0.269 0.944
Y 0.359 0.796 0.653
Y 0.939 0.056 0.731
Y 0.141 0.347 0.204
Fe 0.250 0.000 0.000
Fe 0.750 0.000 0.000
Bi 0.750 0.628 0.372
Bi 0.250 0.372 0.628

No. 2
## YFeBi2 (PBE)

Data for an optimized crystal structure of YFeBi2.

## Properties
E_tot	-5.42	eV per atom
total magnetization	0.00	μB per formula unit

Unit cell a=5.122 b=5.122 c=5.122 alpha=60.00 beta=60.00 gamma=60.00
Fractional coordinates of all 4 atoms:
Y 0.500 0.500 0.500
Bi 0.250 0.250 0.250
Bi 0.750 0.750 0.750
Fe 0.000 0.000 0.000

No. 3
## Y6FeBi2 (PBE)

Data for an optimized crystal structure of Y6FeBi2.

## Properties
E_tot	-6.55	eV per atom
total magnetization	0.00	μB per formula unit

Unit cell a=4.176 b=8.361 c=8.361 alpha=120.00 beta=90.00 gamma=90.00
Fractional coordinates of all 9 atoms:
Y 0.000 0.769 0.769
Y 0.500 0.000 0.607
Y 0.500 0.607 0.000
Y 0.000 0.231 0.000
Y 0.000 0.000 0.231
Y 0.500 0.393 0.393
Bi 0.000 0.667 0.333
Bi 0.000 0.333 0.667
Fe 0.500 0.000 0.000

No. 4
## YFe2Bi (PBE)

Data for an optimized crystal structure of YFe2Bi.

## Properties
E_tot	-6.30	eV per atom
total magnetization	5.27	μB per formula unit

Unit cell a=4.256 b=4.256 c=10.380 alpha=78.17 beta=78.17 gamma=90.00
Site moments in Bohr magnetons follow the coordinates.
Fractional coordinates of all 8 atoms:
Y 0.500 0.500 0.000  -0.17
Y 0.250 0.750 0.500  -0.17
Bi 0.000 0.000 0.000  0.04
Bi 0.750 0.250 0.500  0.04
Fe 0.572 0.125 0.250  2.74
Fe 0.178 0.625 0.250  2.76
Fe 0.375 0.428 0.750  2.68
Fe 0.875 0.822 0.750  2.70

No. 5
## YFeBi2 (PBE)

Data for an optimized crystal structure of YFeBi2.

## Properties
E_tot	-5.23	eV per atom
total magnetization	0.02	μB per formula unit

Unit cell a=5.372 b=5.372 c=9.144 alpha=72.92 beta=72.92 gamma=90.00
Fractional coordinates of all 8 atoms:
Y 0.000 0.000 0.000
Y 0.750 0.250 0.500
Bi 0.532 0.125 0.250
Bi 0.218 0.625 0.250
Bi 0.375 0.468 0.750
Bi 0.875 0.782 0.750
Fe 0.500 0.500 0.000
Fe 0.250 0.750 0.500

No. 6
## YFeBi3 (PBE)

Data for an optimized crystal structure of YFeBi3.

## Properties
E_tot	-5.05	eV per atom
total magnetization	0.00	μB per formula unit

Unit cell a=5.185 b=5.185 c=5.185 alpha=90.00 beta=90.00 gamma=90.00
Fractional coordinates of all 5 atoms:
Y 0.500 0.500 0.500
Bi 0.000 0.500 0.000
Bi 0.000 0.000 0.500
Bi 0.500 0.000 0.000
Fe 0.000 0.000 0.000

No. 7
## Y2FeBi (PBE)

Data for an optimized crystal structure of Y2FeBi.

## Properties
E_tot	-6.21	eV per atom
total magnetization	0.00	μB per formula unit

Unit cell a=7.916 b=7.916 c=6.453 alpha=52.17 beta=52.17 gamma=90.00
Fractional coordinates of all 8 atoms:
Y 0.558 0.125 0.250
Y 0.192 0.625 0.250
Y 0.375 0.442 0.750
Y 0.875 0.808 0.750
Bi 0.000 0.000 0.000
Bi 0.750 0.250 0.500
Fe 0.500 0.500 0.000
Fe 0.250 0.750 0.500

No. 8
## ZnFe3Bi (PBE)

Data for an optimized crystal structure of ZnFe3Bi.

## Properties
E_tot	-4.55	eV per atom
total magnetization	9.00	μB per formula unit

Unit cell a=4.969 b=4.969 c=4.969 alpha=90.00 beta=90.00 gamma=90.00
Site moments in Bohr magnetons follow the coordinates.
Fractional coordinates of all 5 atoms:
Zn 0.500 0.500 0.500  0.07
Bi 0.000 0.000 0.000  -0.03
Fe 0.000 0.500 0.000  2.92
Fe 0.000 0.000 0.500  3.10
Fe 0.500 0.000 0.000  2.91

These records have ΔE_f values of -0.31, 0.25, -0.44, 0.52, 0.44, 0.27, 0.11, 1.56 eV per atom, in the order they appear.